Record 1
3
Lattice="-1.460 1.460 5.515 1.460 -1.460 5.515 1.460 1.460 -5.515" Properties=species:S:1:pos:R:3 comment="CdFeMo (PBE, relaxed)" e_form_ev_per_atom=0.31 m_tot_mub_per_fu=0.4 density_g_cm3=9.3 pbc="T T T"
Cd 0.000 0.000 0.000
Fe 0.000 0.000 7.470
Mo 0.000 0.000 3.267

---

Record 2
8
Lattice="-3.361 3.361 2.758 3.361 -3.361 2.758 3.361 3.361 -2.758" Properties=species:S:1:pos:R:3 comment="CdFe2Mo (PBE, relaxed)" e_form_ev_per_atom=0.83 m_tot_mub_per_fu=0.0 density_g_cm3=8.5 pbc="T T T"
Cd 0.000 0.000 0.000
Cd 0.000 3.361 1.379
Fe 1.680 1.970 -0.690
Fe 4.752 1.680 0.690
Fe 1.680 1.391 2.069
Fe -1.391 1.680 3.448
Mo 3.361 0.000 1.379
Mo 0.000 0.000 2.758

---

Record 3
8
Lattice="-3.720 3.720 2.600 3.720 -3.720 2.600 3.720 3.720 -2.600" Properties=species:S:1:pos:R:3 comment="Cd2FeMo (PBE, relaxed)" e_form_ev_per_atom=1.10 m_tot_mub_per_fu=0.0 density_g_cm3=8.7 pbc="T T T"
Cd 5.580 1.652 -0.650
Cd 1.652 1.860 0.650
Cd -1.860 2.068 1.950
Cd 2.068 1.860 3.250
Fe 0.000 0.000 0.000
Fe 0.000 3.720 1.300
Mo 3.720 0.000 1.300
Mo 0.000 0.000 2.600

---

Record 4
4
Lattice="-1.456 2.466 4.880 1.456 -2.466 4.880 1.456 2.466 -4.880" Properties=species:S:1:pos:R:3 comment="Cd2FeMo (PBE, relaxed)" e_form_ev_per_atom=0.46 m_tot_mub_per_fu=2.6 density_g_cm3=8.9 pbc="T T T"
Cd 0.000 0.000 0.000
Cd 0.000 2.466 2.183
Fe 1.456 0.000 2.442
Mo 0.000 0.000 4.387

---

Record 5
4
Lattice="1.620 -2.270 0.000 1.620 2.270 0.000 0.000 0.000 9.399" Properties=species:S:1:pos:R:3 comment="Cd2FeMo (PBE, relaxed)" e_form_ev_per_atom=0.29 m_tot_mub_per_fu=2.1 density_g_cm3=9.0 pbc="T T T"
Cd 0.000 0.000 0.000
Cd 1.620 0.000 2.761
Fe 1.620 0.000 7.131
Mo 0.000 0.000 5.229

---

Record 6
4
Lattice="1.592 -2.158 0.000 1.592 2.158 0.000 0.000 0.000 8.679" Properties=species:S:1:pos:R:3 comment="CdFe2Mo (PBE, relaxed)" e_form_ev_per_atom=0.28 m_tot_mub_per_fu=4.5 density_g_cm3=8.9 pbc="T T T"
Cd 0.000 0.000 0.000
Fe 1.592 0.000 2.303
Fe 1.592 0.000 6.376
Mo 0.000 0.000 4.339

---

Record 7
4
Lattice="2.648 0.000 0.000 0.000 4.162 0.000 -1.132 0.000 5.413" Properties=species:S:1:pos:R:3 comment="CdFe2Mo (PBE, relaxed)" e_form_ev_per_atom=0.35 m_tot_mub_per_fu=4.6 density_g_cm3=8.9 pbc="T T T"
Cd 0.000 0.000 0.000
Fe 1.104 2.081 1.414
Fe 1.908 0.000 2.613
Mo 0.271 2.081 3.758

---

Record 8
10
Lattice="7.230 0.000 0.000 0.000 7.230 0.000 0.000 0.000 2.776" Properties=species:S:1:pos:R:3 comment="CdFe2Mo2 (PBE, relaxed)" e_form_ev_per_atom=0.24 m_tot_mub_per_fu=0.0 density_g_cm3=9.5 pbc="T T T"
Cd 0.000 0.000 0.000
Cd 3.615 3.615 0.000
Fe 0.919 2.696 0.000
Fe 2.696 6.311 0.000
Fe 4.534 0.919 0.000
Fe 6.311 4.534 0.000
Mo 1.174 4.789 1.388
Mo 2.441 1.174 1.388
Mo 4.789 6.056 1.388
Mo 6.056 2.441 1.388

---

Record 9
4
Lattice="-1.905 1.905 3.992 1.905 -1.905 3.992 1.905 1.905 -3.992" Properties=species:S:1:pos:R:3 comment="CdFe2Mo (PBE, relaxed)" e_form_ev_per_atom=0.48 m_tot_mub_per_fu=3.3 density_g_cm3=9.2 pbc="T T T"
Cd 0.000 0.000 0.000
Fe 1.905 0.000 1.996
Fe 0.000 0.000 3.992
Mo 0.000 1.905 1.996

---

Record 10
4
Lattice="3.109 0.000 0.000 0.000 3.109 0.000 0.000 0.000 6.157" Properties=species:S:1:pos:R:3 comment="CdFe2Mo (PBE, relaxed)" e_form_ev_per_atom=0.29 m_tot_mub_per_fu=3.3 density_g_cm3=8.9 pbc="T T T"
Cd 0.000 0.000 0.000
Fe 1.555 1.555 1.798
Fe 1.555 1.555 4.359
Mo 0.000 0.000 3.079

---

Record 11
4
Lattice="-1.983 1.983 4.352 1.983 -1.983 4.352 1.983 1.983 -4.352" Properties=species:S:1:pos:R:3 comment="Cd2FeMo (PBE, relaxed)" e_form_ev_per_atom=0.57 m_tot_mub_per_fu=3.2 density_g_cm3=9.1 pbc="T T T"
Cd 1.983 0.000 2.176
Cd 0.000 1.983 2.176
Fe 0.000 0.000 0.000
Mo 0.000 0.000 4.352

---

Record 12
5
Lattice="3.975 0.000 0.000 0.000 3.975 0.000 0.000 0.000 4.109" Properties=species:S:1:pos:R:3 comment="CdFe2MoN (PBE, relaxed)" e_form_raw_ev_per_fu=0.227 m_tot_mub_per_fu=4.7 density_g_cm3=8.5 pbc="T T T"
Cd 0.000 0.000 0.000
Fe 0.000 1.987 2.055
Fe 1.987 0.000 2.055
Mo 1.987 1.987 0.000
N 1.987 1.987 2.055